Density functional theory data (PBE) for a relaxed BaNaTaNi crystal.

Values from the calculation:
size of the total moment = 0.581 μB/atom
ΔE to the lowest computed polymorph = 323.9 meV per atom

```
data_BaNaTaNi
_chemical_formula_sum 'Ba4 Na4 Ta4 Ni4'
_symmetry_space_group_name_H-M 'F -4 3 m'
_symmetry_Int_Tables_number 216
_symmetry_space_group_name_Hall 'F -4 2 3'
_cell_length_a 7.408
_cell_length_b 7.408
_cell_length_c 7.408
_cell_angle_alpha 90.00
_cell_angle_beta 90.00
_cell_angle_gamma 90.00
loop_
_atom_site_label
_atom_site_type_symbol
_atom_site_fract_x
_atom_site_fract_y
_atom_site_fract_z
Ba1 Ba 0.000 0.000 0.000
Na1 Na 0.000 0.000 0.500
Ta1 Ta 0.250 0.250 0.250
Ni1 Ni 0.250 0.250 0.750
```


Density functional theory data (PBE) for a relaxed BaNaTl4Ni2 crystal.

Values from the calculation:
raw total energy = -48.27 eV/cell
size of the total moment = 0.001 μB/atom

```
data_BaNaTl4Ni2
_chemical_formula_sum 'Ba2 Na2 Tl8 Ni4'
_symmetry_space_group_name_H-M 'A m m 2'
_symmetry_Int_Tables_number 38
_cell_length_a 8.198
_cell_length_b 4.362
_cell_length_c 11.289
_cell_angle_alpha 90.00
_cell_angle_beta 90.00
_cell_angle_gamma 90.00
loop_
_symmetry_equiv_pos_as_xyz
'x,y,z'
'-x,-y,z'
'-x,y,z'
'x,-y,z'
'x,y+1/2,z+1/2'
'-x,-y+1/2,z+1/2'
'-x,y+1/2,z+1/2'
'x,-y+1/2,z+1/2'
loop_
_atom_site_label
_atom_site_type_symbol
_atom_site_fract_x
_atom_site_fract_y
_atom_site_fract_z
Ba1 Ba 0.000 0.000 0.000
Na1 Na 0.500 0.000 0.120
Tl1 Tl 0.213 0.000 0.709
Tl2 Tl 0.312 0.000 0.407
Ni1 Ni 0.000 0.000 0.281
Ni2 Ni 0.500 0.000 0.842
```